Here is crystalline Sc2AlNi at its relaxed geometry from OQMD via LeMat-Bulk. Energies are from PBE-GGA.

The raw total energy is -22.9 eV for the cell shown. As for the total magnetization: 0.97 μB per cell.

a b c (Å): 4.588 4.588 4.588
angles (deg): 60.00 60.00 60.00
Site moments in Bohr magnetons follow the coordinates.
Element x y z (fractional)
Al1 0.000 0.000 0.000  0.00
Ni1 0.250 0.250 0.250  0.12
Sc1 0.500 0.500 0.500  0.22
Sc2 0.750 0.750 0.750  0.43


Here is crystalline Pr2GaSiBr2 at its relaxed geometry from OQMD via LeMat-Bulk. Energies are from PBE-GGA.

The raw total energy is -28.9 eV for the cell shown. As for the total magnetization: 0.00 μB per cell.

a b c (Å): 4.158 4.158 11.911
angles (deg): 90.00 90.00 120.00
Element x y z (fractional)
Br1 0.667 0.333 0.337
Br2 0.333 0.667 0.663
Ga1 0.333 0.667 0.016
Pr1 0.000 0.000 0.178
Pr2 0.000 0.000 0.821
Si1 0.667 0.333 0.984


Here is crystalline ScRePb2O6 at its relaxed geometry from OQMD via LeMat-Bulk. Energies are from PBE-GGA.

The raw total energy is -74.0 eV for the cell shown. As for the total magnetization: 1.73 μB per cell.

a b c (Å): 5.684 5.684 5.684
angles (deg): 60.00 60.00 60.00
Site moments in Bohr magnetons follow the coordinates.
Element x y z (fractional)
O1 0.758 0.758 0.242  0.01
O2 0.758 0.242 0.242  0.03
O3 0.242 0.758 0.242  0.04
O4 0.758 0.242 0.758  0.04
O5 0.242 0.242 0.758  0.01
O6 0.242 0.758 0.758  0.03
Pb1 0.250 0.250 0.250  0.03
Pb2 0.750 0.750 0.750  0.03
Re1 0.000 0.000 0.000  1.25
Sc1 0.500 0.500 0.500  0.06


Here is crystalline SmCO3 at its relaxed geometry from OQMD via LeMat-Bulk. Energies are from PBE-GGA.

The raw total energy is -76.3 eV for the cell shown. As for the total magnetization: 1.80 μB per cell.

a b c (Å): 5.918 5.918 5.918
angles (deg): 52.98 52.98 52.98
Site moments in Bohr magnetons follow the coordinates.
Element x y z (fractional)
C1 0.250 0.250 0.250  0.20
C2 0.750 0.750 0.750  0.20
O1 0.750 0.500 0.000  0.02
O2 0.500 0.000 0.250  0.01
O3 0.000 0.750 0.500  0.03
O4 0.000 0.250 0.500  0.03
O5 0.500 0.000 0.750  0.01
O6 0.250 0.500 0.000  0.02
Sm1 0.000 0.000 0.000  0.30
Sm2 0.500 0.500 0.500  0.30


Which of these has the lowest raw total energy?
SmCO3


Which of these has the highest raw total energy?
Sc2AlNi